No. 1
# AgTe4Se PBE optimized geometry
data_AgTe4Se
_cell_length_a 6.278
_cell_length_b 6.278
_cell_length_c 6.278
_cell_angle_alpha 60.00
_cell_angle_beta 60.00
_cell_angle_gamma 60.00
_space_group_name_H-M_alt 'P 1'
_space_group_IT_number 1
loop_
_space_group_symop_operation_xyz
'x,y,z'
loop_
_atom_site_label
_atom_site_fract_x
_atom_site_fract_y
_atom_site_fract_z
Te1 0.373 0.880 0.373
Te2 0.880 0.373 0.373
Te3 0.373 0.373 0.880
Te4 0.373 0.373 0.373
Ag1 0.750 0.750 0.750
Se1 0.000 0.000 0.000
# symmetry = F-43m (216)
# density = 6.62 g/cm3
# V = 29.16 Å³ per atom
# energy = -15.4 eV for the cell shown

No. 2
# FeReRh2 PBE optimized geometry
data_FeReRh2
_cell_length_a 2.689
_cell_length_b 4.664
_cell_length_c 5.362
_cell_angle_alpha 55.26
_cell_angle_beta 90.00
_cell_angle_gamma 90.00
_space_group_name_H-M_alt 'P 1'
_space_group_IT_number 1
loop_
_space_group_symop_operation_xyz
'x,y,z'
loop_
_atom_site_label
_atom_site_fract_x
_atom_site_fract_y
_atom_site_fract_z
Rh1 0.500 0.500 0.000
Rh2 0.000 0.000 0.000
Fe1 0.500 0.500 0.500
Re1 0.000 0.000 0.500
# symmetry = P2/m (10)
# density = 13.46 g/cm3
# V = 13.81 Å³ per atom
# energy = -35.5 eV for the cell shown

No. 3
# As2PbCl PBE optimized geometry
data_As2PbCl
_cell_length_a 4.395
_cell_length_b 4.395
_cell_length_c 5.974
_cell_angle_alpha 90.00
_cell_angle_beta 90.00
_cell_angle_gamma 90.00
_space_group_name_H-M_alt 'P 1'
_space_group_IT_number 1
loop_
_space_group_symop_operation_xyz
'x,y,z'
loop_
_atom_site_label
_atom_site_fract_x
_atom_site_fract_y
_atom_site_fract_z
Pb1 0.500 0.500 0.750
As1 0.000 0.000 0.558
As2 0.000 0.000 0.942
Cl1 0.500 0.500 0.250
# symmetry = P4/mmm (123)
# density = 5.65 g/cm3
# V = 28.85 Å³ per atom
# energy = -14.8 eV for the cell shown

No. 4
# MnZnBi3 PBE optimized geometry
data_MnZnBi3
_cell_length_a 5.323
_cell_length_b 5.323
_cell_length_c 5.323
_cell_angle_alpha 90.00
_cell_angle_beta 90.00
_cell_angle_gamma 90.00
_space_group_name_H-M_alt 'P 1'
_space_group_IT_number 1
loop_
_space_group_symop_operation_xyz
'x,y,z'
loop_
_atom_site_label
_atom_site_fract_x
_atom_site_fract_y
_atom_site_fract_z
Bi1 0.000 0.000 0.500
Bi2 0.000 0.500 0.000
Bi3 0.500 0.000 0.000
Zn1 0.000 0.000 0.000
Mn1 0.500 0.500 0.500
# symmetry = Pm-3m (221)
# density = 8.23 g/cm3
# V = 30.16 Å³ per atom
# energy = -15.7 eV for the cell shown

No. 5
# Pr6Dy2HoEr PBE optimized geometry
data_Pr6Dy2HoEr
_cell_length_a 9.693
_cell_length_b 9.007
_cell_length_c 9.007
_cell_angle_alpha 117.77
_cell_angle_beta 93.93
_cell_angle_gamma 93.93
_space_group_name_H-M_alt 'P 1'
_space_group_IT_number 1
loop_
_space_group_symop_operation_xyz
'x,y,z'
loop_
_atom_site_label
_atom_site_fract_x
_atom_site_fract_y
_atom_site_fract_z
Pr1 0.190 0.565 0.007
Pr2 0.310 0.993 0.435
Pr3 0.810 0.435 0.993
Pr4 0.117 0.707 0.490
Pr5 0.617 0.490 0.707
Pr6 0.446 0.236 0.884
Pr7 0.554 0.764 0.116
Pr8 0.054 0.116 0.764
Pr9 0.690 0.007 0.565
Pr10 0.383 0.510 0.293
Pr11 0.883 0.293 0.510
Pr12 0.946 0.884 0.236
Er1 0.250 0.412 0.588
Er2 0.750 0.588 0.412
Dy1 0.454 0.800 0.704
Dy2 0.046 0.296 0.200
Dy3 0.546 0.200 0.296
Dy4 0.954 0.704 0.800
Ho1 0.250 0.973 0.027
Ho2 0.750 0.027 0.973
# symmetry = C2/c (15)
# density = 7.24 g/cm3
# V = 34.48 Å³ per atom
# energy = -91.7 eV for the cell shown

No. 6
# SiAgW PBE optimized geometry
data_SiAgW
_cell_length_a 4.409
_cell_length_b 4.409
_cell_length_c 2.735
_cell_angle_alpha 90.00
_cell_angle_beta 90.00
_cell_angle_gamma 120.00
_space_group_name_H-M_alt 'P 1'
_space_group_IT_number 1
loop_
_space_group_symop_operation_xyz
'x,y,z'
loop_
_atom_site_label
_atom_site_fract_x
_atom_site_fract_y
_atom_site_fract_z
W1 0.333 0.667 0.667
Ag1 0.000 0.000 0.167
Si1 0.667 0.333 0.166
# symmetry = P-6m2 (187)
# density = 11.54 g/cm3
# V = 15.34 Å³ per atom
# energy = -19.7 eV for the cell shown

No. 7
# Li3Cu4SbO8 PBE optimized geometry
data_Li3Cu4SbO8
_cell_length_a 6.218
_cell_length_b 6.218
_cell_length_c 5.789
_cell_angle_alpha 64.43
_cell_angle_beta 64.43
_cell_angle_gamma 56.42
_space_group_name_H-M_alt 'P 1'
_space_group_IT_number 1
loop_
_space_group_symop_operation_xyz
'x,y,z'
loop_
_atom_site_label
_atom_site_fract_x
_atom_site_fract_y
_atom_site_fract_z
Cu1 0.000 0.000 0.000
Cu2 0.500 0.500 0.500
Cu3 0.000 0.500 0.500
Cu4 0.500 0.000 0.500
O1 0.288 0.288 0.234
O2 0.296 0.756 0.232
O3 0.704 0.244 0.768
O4 0.244 0.704 0.768
O5 0.204 0.204 0.760
O6 0.756 0.296 0.232
O7 0.796 0.796 0.240
O8 0.712 0.712 0.766
Li1 0.500 0.000 0.000
Li2 0.000 0.500 0.000
Li3 0.000 0.000 0.500
Sb1 0.500 0.500 0.000
# symmetry = C2/m (12)
# density = 5.36 g/cm3
# V = 10.16 Å³ per atom
# energy = -84.2 eV for the cell shown

No. 8
# AgWSe2Br PBE optimized geometry
data_AgWSe2Br
_cell_length_a 4.882
_cell_length_b 4.882
_cell_length_c 5.440
_cell_angle_alpha 90.00
_cell_angle_beta 90.00
_cell_angle_gamma 90.00
_space_group_name_H-M_alt 'P 1'
_space_group_IT_number 1
loop_
_space_group_symop_operation_xyz
'x,y,z'
loop_
_atom_site_label
_atom_site_fract_x
_atom_site_fract_y
_atom_site_fract_z
Ag1 0.500 0.500 0.500
Se1 0.500 0.000 0.000
Se2 0.000 0.500 0.000
Br1 0.000 0.000 0.500
W1 0.000 0.000 0.000
# symmetry = P4/mmm (123)
# density = 6.78 g/cm3
# V = 25.93 Å³ per atom
# energy = -22.7 eV for the cell shown

No. 9
# Ac2NiSn4Pt3 PBE optimized geometry
data_Ac2NiSn4Pt3
_cell_length_a 4.678
_cell_length_b 4.678
_cell_length_c 10.766
_cell_angle_alpha 90.00
_cell_angle_beta 90.00
_cell_angle_gamma 90.00
_space_group_name_H-M_alt 'P 1'
_space_group_IT_number 1
loop_
_space_group_symop_operation_xyz
'x,y,z'
loop_
_atom_site_label
_atom_site_fract_x
_atom_site_fract_y
_atom_site_fract_z
Sn1 0.000 0.500 0.381
Sn2 0.500 0.000 0.619
Sn3 0.000 0.000 0.000
Sn4 0.500 0.500 0.000
Pt1 0.500 0.000 0.868
Pt2 0.000 0.500 0.132
Pt3 0.000 0.000 0.500
Ni1 0.500 0.500 0.500
Ac1 0.500 0.000 0.261
Ac2 0.000 0.500 0.739
# symmetry = P-4m2 (115)
# density = 11.09 g/cm3
# V = 23.56 Å³ per atom
# energy = -56.3 eV for the cell shown

No. 10
# Sc6CdIr5 PBE optimized geometry
data_Sc6CdIr5
_cell_length_a 4.675
_cell_length_b 6.399
_cell_length_c 8.072
_cell_angle_alpha 113.35
_cell_angle_beta 106.83
_cell_angle_gamma 90.00
_space_group_name_H-M_alt 'P 1'
_space_group_IT_number 1
loop_
_space_group_symop_operation_xyz
'x,y,z'
loop_
_atom_site_label
_atom_site_fract_x
_atom_site_fract_y
_atom_site_fract_z
Ir1 0.665 0.165 0.329
Ir2 0.666 0.666 0.332
Ir3 0.335 0.835 0.671
Ir4 0.334 0.334 0.668
Ir5 0.000 0.500 0.000
Sc1 0.172 0.426 0.343
Sc2 0.500 0.261 0.000
Sc3 0.172 0.917 0.343
Sc4 0.828 0.574 0.657
Sc5 0.828 0.083 0.657
Sc6 0.500 0.739 0.000
Cd1 0.000 0.000 0.000
# symmetry = Immm (71)
# density = 10.60 g/cm3
# V = 17.53 Å³ per atom
# energy = -93.8 eV for the cell shown

No. 11
# PrDyIrRh PBE optimized geometry
data_PrDyIrRh
_cell_length_a 4.951
_cell_length_b 4.951
_cell_length_c 4.951
_cell_angle_alpha 60.00
_cell_angle_beta 60.00
_cell_angle_gamma 60.00
_space_group_name_H-M_alt 'P 1'
_space_group_IT_number 1
loop_
_space_group_symop_operation_xyz
'x,y,z'
loop_
_atom_site_label
_atom_site_fract_x
_atom_site_fract_y
_atom_site_fract_z
Rh1 0.500 0.500 0.500
Dy1 0.750 0.750 0.750
Pr1 0.250 0.250 0.250
Ir1 0.000 0.000 0.000
# symmetry = F-43m (216)
# density = 11.58 g/cm3
# V = 21.45 Å³ per atom
# energy = -28.4 eV for the cell shown

No. 12
# TlHg2Au PBE optimized geometry
data_TlHg2Au
_cell_length_a 3.382
_cell_length_b 3.382
_cell_length_c 8.618
_cell_angle_alpha 90.00
_cell_angle_beta 90.00
_cell_angle_gamma 90.00
_space_group_name_H-M_alt 'P 1'
_space_group_IT_number 1
loop_
_space_group_symop_operation_xyz
'x,y,z'
loop_
_atom_site_label
_atom_site_fract_x
_atom_site_fract_y
_atom_site_fract_z
Tl1 0.500 0.500 0.250
Hg1 0.000 0.000 0.536
Hg2 0.000 0.000 0.964
Au1 0.500 0.500 0.750
# symmetry = P4/mmm (123)
# density = 13.52 g/cm3
# V = 24.65 Å³ per atom
# energy = -6.1 eV for the cell shown

Calculated D(E_F), 6.25 4.93 2.00 6.41 28.95 2.24 2.45 3.76 5.91 4.59 1.66 1.57 states/eV per cell (same order as the records).